1.
# SrZn3Pd3 GGA-PBE relaxed
data_SrZn3Pd3
_chemical_formula_sum 'Sr2 Zn6 Pd6'
_symmetry_space_group_name_H-M 'P 1'
_symmetry_Int_Tables_number 1
_cell_length_a 7.270
_cell_length_b 7.270
_cell_length_c 7.106
_cell_angle_alpha 59.23
_cell_angle_beta 59.23
_cell_angle_gamma 60.00
loop_
_symmetry_equiv_pos_as_xyz
'x,y,z'
loop_
_atom_site_label
_atom_site_type_symbol
_atom_site_fract_x
_atom_site_fract_y
_atom_site_fract_z
Sr1 Sr 0.366 0.366 0.901
Sr2 Sr 0.634 0.634 0.099
Zn1 Zn 0.685 0.685 0.561
Zn2 Zn 0.685 0.069 0.561
Zn3 Zn 0.069 0.685 0.561
Zn4 Zn 0.931 0.315 0.439
Zn5 Zn 0.315 0.931 0.439
Zn6 Zn 0.315 0.315 0.439
Pd1 Pd 0.064 0.671 0.202
Pd2 Pd 0.064 0.064 0.202
Pd3 Pd 0.671 0.064 0.202
Pd4 Pd 0.329 0.936 0.798
Pd5 Pd 0.936 0.936 0.798
Pd6 Pd 0.936 0.329 0.798
# E_form = -3.0 eV per formula unit
# Size of the total moment = 0.0 Bohr magnetons per cell
# Excess energy over the best structure of this formula in the dataset = 0 meV per atom

***

2.
# Sr2ZnPd2 GGA-PBE relaxed
data_Sr2ZnPd2
_chemical_formula_sum 'Sr2 Zn1 Pd2'
_symmetry_space_group_name_H-M 'P 1'
_symmetry_Int_Tables_number 1
_cell_length_a 5.944
_cell_length_b 5.944
_cell_length_c 5.723
_cell_angle_alpha 58.72
_cell_angle_beta 58.72
_cell_angle_gamma 90.00
loop_
_symmetry_equiv_pos_as_xyz
'x,y,z'
loop_
_atom_site_label
_atom_site_type_symbol
_atom_site_fract_x
_atom_site_fract_y
_atom_site_fract_z
Sr1 Sr 0.750 0.250 0.500
Sr2 Sr 0.250 0.750 0.500
Zn1 Zn 0.000 0.000 0.000
Pd1 Pd 0.327 0.327 0.345
Pd2 Pd 0.673 0.673 0.655
# E_form = -2.0 eV per formula unit
# Size of the total moment = 0.0 Bohr magnetons per cell

***

3.
# Sr2Zn15Pd2 GGA-PBE relaxed
data_Sr2Zn15Pd2
_chemical_formula_sum 'Sr2 Zn15 Pd2'
_symmetry_space_group_name_H-M 'P 1'
_symmetry_Int_Tables_number 1
_cell_length_a 6.925
_cell_length_b 6.925
_cell_length_c 6.925
_cell_angle_alpha 83.20
_cell_angle_beta 83.20
_cell_angle_gamma 83.20
loop_
_symmetry_equiv_pos_as_xyz
'x,y,z'
loop_
_atom_site_label
_atom_site_type_symbol
_atom_site_fract_x
_atom_site_fract_y
_atom_site_fract_z
Sr1 Sr 0.341 0.341 0.341
Sr2 Sr 0.659 0.659 0.659
Zn1 Zn 0.500 0.000 0.000
Zn2 Zn 0.000 0.000 0.500
Zn3 Zn 0.000 0.500 0.000
Zn4 Zn 0.000 0.717 0.283
Zn5 Zn 0.717 0.283 0.000
Zn6 Zn 0.283 0.000 0.717
Zn7 Zn 0.283 0.717 0.000
Zn8 Zn 0.717 0.000 0.283
Zn9 Zn 0.000 0.283 0.717
Zn10 Zn 0.151 0.654 0.654
Zn11 Zn 0.654 0.654 0.151
Zn12 Zn 0.654 0.151 0.654
Zn13 Zn 0.849 0.346 0.346
Zn14 Zn 0.346 0.346 0.849
Zn15 Zn 0.346 0.849 0.346
Pd1 Pd 0.108 0.108 0.108
Pd2 Pd 0.892 0.892 0.892
# E_form = -4.9 eV per formula unit
# Size of the total moment = 0.0 Bohr magnetons per cell

***

4.
# Sr2ZnPd2 GGA-PBE relaxed
data_Sr2ZnPd2
_chemical_formula_sum 'Sr2 Zn1 Pd2'
_symmetry_space_group_name_H-M 'P 1'
_symmetry_Int_Tables_number 1
_cell_length_a 3.923
_cell_length_b 3.923
_cell_length_c 9.147
_cell_angle_alpha 77.62
_cell_angle_beta 77.62
_cell_angle_gamma 90.00
loop_
_symmetry_equiv_pos_as_xyz
'x,y,z'
loop_
_atom_site_label
_atom_site_type_symbol
_atom_site_fract_x
_atom_site_fract_y
_atom_site_fract_z
Sr1 Sr 0.385 0.385 0.230
Sr2 Sr 0.615 0.615 0.770
Zn1 Zn 0.000 0.000 0.000
Pd1 Pd 0.750 0.250 0.500
Pd2 Pd 0.250 0.750 0.500
# E_form = -1.3 eV per formula unit
# Size of the total moment = 0.0 Bohr magnetons per cell

***

5.
# Sr2ZnPd3 GGA-PBE relaxed
data_Sr2ZnPd3
_chemical_formula_sum 'Sr4 Zn2 Pd6'
_symmetry_space_group_name_H-M 'P 1'
_symmetry_Int_Tables_number 1
_cell_length_a 5.798
_cell_length_b 5.798
_cell_length_c 8.671
_cell_angle_alpha 90.00
_cell_angle_beta 90.00
_cell_angle_gamma 120.00
loop_
_symmetry_equiv_pos_as_xyz
'x,y,z'
loop_
_atom_site_label
_atom_site_type_symbol
_atom_site_fract_x
_atom_site_fract_y
_atom_site_fract_z
Sr1 Sr 0.667 0.333 0.438
Sr2 Sr 0.333 0.667 0.562
Sr3 Sr 0.333 0.667 0.938
Sr4 Sr 0.667 0.333 0.062
Zn1 Zn 0.000 0.000 0.500
Zn2 Zn 0.000 0.000 0.000
Pd1 Pd 0.165 0.330 0.250
Pd2 Pd 0.330 0.165 0.750
Pd3 Pd 0.835 0.670 0.750
Pd4 Pd 0.165 0.835 0.250
Pd5 Pd 0.835 0.165 0.750
Pd6 Pd 0.670 0.835 0.250
# E_form = -3.7 eV per formula unit
# Size of the total moment = 0.0 Bohr magnetons per cell
# Excess energy over the best structure of this formula in the dataset = 0 meV per atom

***

6.
# SrZn9Pd2 GGA-PBE relaxed
data_SrZn9Pd2
_chemical_formula_sum 'Sr1 Zn9 Pd2'
_symmetry_space_group_name_H-M 'P 1'
_symmetry_Int_Tables_number 1
_cell_length_a 3.504
_cell_length_b 8.485
_cell_length_c 8.485
_cell_angle_alpha 120.00
_cell_angle_beta 90.00
_cell_angle_gamma 90.00
loop_
_symmetry_equiv_pos_as_xyz
'x,y,z'
loop_
_atom_site_label
_atom_site_type_symbol
_atom_site_fract_x
_atom_site_fract_y
_atom_site_fract_z
Sr1 Sr 0.000 0.000 0.000
Zn1 Zn 0.500 0.805 0.195
Zn2 Zn 0.000 0.000 0.500
Zn3 Zn 0.000 0.500 0.500
Zn4 Zn 0.500 0.805 0.610
Zn5 Zn 0.500 0.195 0.805
Zn6 Zn 0.500 0.610 0.805
Zn7 Zn 0.500 0.195 0.390
Zn8 Zn 0.000 0.500 0.000
Zn9 Zn 0.500 0.390 0.195
Pd1 Pd 0.000 0.667 0.333
Pd2 Pd 0.000 0.333 0.667
# E_form = -2.7 eV per formula unit
# Size of the total moment = 0.0 Bohr magnetons per cell
# Excess energy over the best structure of this formula in the dataset = 110 meV per atom

***

7.
# Sr2ZrZnPd GGA-PBE relaxed
data_Sr2ZrZnPd
_chemical_formula_sum 'Sr2 Zr1 Zn1 Pd1'
_symmetry_space_group_name_H-M 'P 1'
_symmetry_Int_Tables_number 1
_cell_length_a 5.781
_cell_length_b 5.080
_cell_length_c 5.781
_cell_angle_alpha 90.00
_cell_angle_beta 90.00
_cell_angle_gamma 90.00
loop_
_symmetry_equiv_pos_as_xyz
'x,y,z'
loop_
_atom_site_label
_atom_site_type_symbol
_atom_site_fract_x
_atom_site_fract_y
_atom_site_fract_z
Sr1 Sr 0.000 0.000 0.500
Sr2 Sr 0.500 0.000 0.000
Zn1 Zn 0.000 0.000 0.000
Zr1 Zr 0.000 0.500 0.000
Pd1 Pd 0.500 0.500 0.500
# E_form = 2.5 eV per formula unit
# Size of the total moment = 0.4 Bohr magnetons per cell

***

8.
# Sr2Zr2Pd GGA-PBE relaxed
data_Sr2Zr2Pd
_chemical_formula_sum 'Sr2 Zr2 Pd1'
_symmetry_space_group_name_H-M 'P 1'
_symmetry_Int_Tables_number 1
_cell_length_a 3.918
_cell_length_b 3.918
_cell_length_c 10.688
_cell_angle_alpha 79.44
_cell_angle_beta 79.44
_cell_angle_gamma 90.00
loop_
_symmetry_equiv_pos_as_xyz
'x,y,z'
loop_
_atom_site_label
_atom_site_type_symbol
_atom_site_fract_x
_atom_site_fract_y
_atom_site_fract_z
Sr1 Sr 0.412 0.412 0.175
Sr2 Sr 0.588 0.588 0.825
Zr1 Zr 0.750 0.250 0.500
Zr2 Zr 0.250 0.750 0.500
Pd1 Pd 0.000 0.000 0.000
# E_form = 0.9 eV per formula unit
# Size of the total moment = 0.0 Bohr magnetons per cell
# Excess energy over the best structure of this formula in the dataset = 1 meV per atom

***

Question: size of the total moment of number 5 (Sr2ZnPd3)?
Answer: 0.0 Bohr magnetons per cell